Computed, not measured: crystalline CaSmHo2 at its relaxed geometry at the PBE level of DFT.

```
CaSmHo2
1.0
-0.0359 2.5947 -2.5013
-1.7039 -0.5378 -3.1301
-10.6806 5.1130 2.8605
Ca Ho Sm
1 2 1
Direct
0.5005 0.5005 0.4984
0.2541 0.2541 0.2377
0.0792 0.0792 0.7625
0.6662 0.6662 0.0013
```

Results
For the energy above the most stable polymorph in this dataset, the calculation gives 0.000 eV/atom. The formation energy is 0.065 eV/atom. The value obtained for the density of states at the Fermi level is 6.0 states/eV per cell.

Computed, not measured: crystalline BePbI2O at its relaxed geometry at the PBE level of DFT.

```
BePbI2O
1.0
6.5924 0.0000 0.0000
0.0000 6.5924 0.0000
0.0000 0.0000 3.0299
Be I O Pb
1 2 1 1
Direct
0.0000 0.0000 0.0000
0.5000 0.0000 0.0000
0.0000 0.5000 0.0000
0.0000 0.0000 0.5000
0.5000 0.5000 0.5000
```

Results
For the energy above the most stable polymorph in this dataset, the calculation gives 0.000 eV/atom. The value obtained for the density of states at the Fermi level is 1.5 states/eV per cell.

Computed, not measured: crystalline CaPm2RuN4 at its relaxed geometry at the PBE level of DFT.

```
CaPm2RuN4
1.0
3.5099 0.0000 0.0000
-1.7550 6.0936 0.0000
0.0000 0.0000 11.8992
Ru Pm N Ca
2 4 8 2
Direct
0.1461 0.2922 0.2500
0.8539 0.7078 0.7500
0.3686 0.7372 0.5345
0.6314 0.2628 0.0345
0.3686 0.7372 0.9655
0.6314 0.2628 0.4655
0.4238 0.8477 0.7500
0.2603 0.5205 0.1306
0.0000 0.0000 0.5000
0.0000 0.0000 0.0000
0.5762 0.1523 0.2500
0.7397 0.4795 0.6306
0.7397 0.4795 0.8694
0.2603 0.5205 0.3694
0.1321 0.2642 0.7500
0.8679 0.7358 0.2500
```

Results
The value obtained for the total energy is -7.507 eV/atom. The value obtained for the density of states at the Fermi level is 2.2 states/eV per cell.

Computed, not measured: crystalline CoRu2S at its relaxed geometry at the PBE level of DFT.

```
CoRu2S
1.0
5.1075 0.0000 0.0000
0.0000 5.1075 0.0000
2.5538 2.5538 5.3408
Ru Co S
4 2 2
Direct
0.6146 0.1250 0.2500
0.8750 0.8646 0.7500
0.1354 0.6250 0.2500
0.3750 0.3854 0.7500
0.7500 0.2500 0.5000
0.0000 0.0000 0.0000
0.5000 0.5000 0.0000
0.2500 0.7500 0.5000
```

Results
The value obtained for the total energy is -6.889 eV/atom. The value obtained for the density of states at the Fermi level is 16.3 states/eV per cell.

Computed, not measured: crystalline Tb6Pm3DyEr2 at its relaxed geometry at the PBE level of DFT.

```
Tb6Pm3DyEr2
1.0
6.1874 0.0005 0.0068
-3.0917 5.3595 0.0068
-1.0405 -1.8016 11.6500
Tb Pm Er Dy
6 3 2 1
Direct
0.5839 0.9174 0.7536
0.0826 0.4161 0.2464
0.7490 0.7490 0.2463
0.4161 0.0826 0.2464
0.9174 0.5839 0.7536
0.2510 0.2510 0.7537
0.8333 0.1667 0.5000
0.5000 0.5000 0.5000
0.1667 0.8333 0.5000
0.6667 0.3333 0.0000
0.3333 0.6667 0.0000
0.0000 0.0000 0.0000
```

Results
The formation energy is 0.016 eV/atom. The value obtained for the density of states at the Fermi level is 15.6 states/eV per cell.

Computed, not measured: crystalline BeIrAu2 at its relaxed geometry at the PBE level of DFT.

```
BeIrAu2
1.0
-4.4676 4.3323 -0.6534
0.0931 -3.7782 -2.6457
-2.7988 -0.6688 0.8608
Au Ir Be
2 1 1
Direct
0.0000 0.0000 0.0000
0.5000 0.0000 0.5000
0.5000 0.5000 0.0000
0.0000 0.5000 0.5000
```

Results
The formation energy is 0.237 eV/atom. The value obtained for the density of states at the Fermi level is 1.7 states/eV per cell.

Computed, not measured: crystalline TlInGaPb at its relaxed geometry at the PBE level of DFT.

```
TlInGaPb
1.0
5.3886 0.0000 0.0000
2.6943 4.6667 0.0000
2.6943 1.5556 4.3998
Tl In Pb Ga
1 1 1 1
Direct
0.5000 0.5000 0.5000
0.7500 0.7500 0.7500
0.0000 0.0000 0.0000
0.2500 0.2500 0.2500
```

Results
For the energy above the most stable polymorph in this dataset, the calculation gives 0.038 eV/atom. The formation energy is 0.067 eV/atom. The value obtained for the density of states at the Fermi level is 2.1 states/eV per cell.

Computed, not measured: crystalline Sc3Sn2H2 at its relaxed geometry at the PBE level of DFT.

```
Sc3Sn2H2
1.0
-1.5108 0.9747 -5.8194
7.4859 -3.8207 -2.5834
-2.9768 -3.7091 -3.1403
H Sc Sn
4 6 4
Direct
0.0508 0.0646 0.6361
0.4492 0.5646 0.3639
0.9492 0.9354 0.3639
0.5508 0.4354 0.6361
0.6996 0.0771 0.6769
0.0000 0.0000 0.0000
0.8004 0.5771 0.3231
0.3004 0.9229 0.3231
0.5000 0.5000 0.0000
0.1996 0.4229 0.6769
0.1237 0.2674 0.2063
0.8763 0.7326 0.7937
0.6237 0.2326 0.2063
0.3763 0.7674 0.7937
```

Results
The value obtained for the total energy is -5.319 eV/atom. The value obtained for the density of states at the Fermi level is 7.0 states/eV per cell.

Computed, not measured: crystalline SrBiSN2 at its relaxed geometry at the PBE level of DFT.

```
SrBiSN2
1.0
-0.8762 4.1365 2.0907
-4.5777 -1.1053 0.2684
0.8791 -2.3990 5.1149
Sr N S Bi
1 2 1 1
Direct
0.0000 0.0000 0.0000
0.0000 0.5000 0.0000
0.5000 0.0000 0.0000
0.0000 0.0000 0.5000
0.5000 0.5000 0.5000
```

Results
For the energy above the most stable polymorph in this dataset, the calculation gives 0.817 eV/atom. The value obtained for the density of states at the Fermi level is 1.2 states/eV per cell.

Computed, not measured: crystalline AlSiGe2I at its relaxed geometry at the PBE level of DFT.

```
AlSiGe2I
1.0
-4.7606 -2.5685 -0.7784
1.0051 -3.1390 4.2106
-2.4795 3.6023 3.2774
Ge Si Al I
2 1 1 1
Direct
0.5000 0.0000 0.0000
0.0000 0.0000 0.5000
0.0000 0.5000 0.0000
0.5000 0.5000 0.5000
0.0000 0.0000 0.0000
```

Results
The value obtained for the total energy is -2.586 eV/atom. The value obtained for the density of states at the Fermi level is 3.1 states/eV per cell.

Computed, not measured: crystalline Ho4Sb2PbSe at its relaxed geometry at the PBE level of DFT.

```
Ho4Sb2PbSe
1.0
4.2981 0.0000 0.0000
0.0000 7.4814 -0.1587
0.0000 2.6228 7.0238
Se Pb Ho Sb
1 1 4 2
Direct
0.0000 0.5000 0.5000
0.5000 0.5000 0.0000
0.0000 0.2519 0.2546
0.5000 0.7462 0.2529
0.5000 0.2539 0.7471
0.0000 0.7481 0.7454
0.0000 0.0000 0.0000
0.5000 0.0000 0.5000
```

Results
The value obtained for the total energy is -5.317 eV/atom. The value obtained for the density of states at the Fermi level is 1.7 states/eV per cell.

Computed, not measured: crystalline GaAs2Os at its relaxed geometry at the PBE level of DFT.

```
GaAs2Os
1.0
2.8235 0.0000 0.0000
1.4117 2.4452 0.0000
1.4117 0.8151 10.4918
Ga As Os
1 2 1
Direct
0.5000 0.5000 0.5000
0.9216 0.9216 0.2353
0.0784 0.0784 0.7647
0.0000 0.0000 0.0000
```

Results
The formation energy is 0.476 eV/atom. The value obtained for the density of states at the Fermi level is 4.0 states/eV per cell.

Computed, not measured: crystalline Ba3Br2O2 at its relaxed geometry at the PBE level of DFT.

```
Ba3Br2O2
1.0
6.4524 0.0000 0.0000
0.0000 7.6204 0.0000
0.0000 0.0000 19.9829
O Br Ba
8 8 12
Direct
0.0006 0.4258 0.4206
0.5006 0.9258 0.0794
0.9994 0.5742 0.5794
0.5006 0.5742 0.5794
0.9994 0.9258 0.0794
0.4994 0.4258 0.4206
0.0006 0.0742 0.9206
0.4994 0.0742 0.9206
0.7500 0.6816 0.7957
0.2500 0.3184 0.2043
0.7500 0.0761 0.5576
0.7500 0.8184 0.2957
0.2500 0.9239 0.4424
0.2500 0.1816 0.7043
0.7500 0.4239 0.0576
0.2500 0.5761 0.9424
0.7500 0.4380 0.6554
0.7500 0.6517 0.4793
0.2500 0.1517 0.0207
0.7500 0.3049 0.8962
0.2500 0.3483 0.5207
0.2500 0.8049 0.6038
0.2500 0.9380 0.8446
0.7500 0.0620 0.1554
0.7500 0.1951 0.3962
0.2500 0.5620 0.3446
0.2500 0.6951 0.1038
0.7500 0.8483 0.9793
```

Results
For the energy above the most stable polymorph in this dataset, the calculation gives 0.019 eV/atom. The value obtained for the density of states at the Fermi level is 0.0 states/eV per cell.

Computed, not measured: crystalline Er4TlHgC at its relaxed geometry at the PBE level of DFT.

```
Er4TlHgC
1.0
6.8802 0.0000 0.0000
0.0000 6.8865 0.0000
-3.4401 0.0000 7.4415
Er C Tl Hg
8 2 2 2
Direct
0.5867 0.2500 0.1734
0.0834 0.7500 0.1668
0.5000 0.5000 0.5000
0.0000 0.0000 0.5000
0.5000 0.0000 0.5000
0.4133 0.7500 0.8266
0.9166 0.2500 0.8332
0.0000 0.5000 0.5000
0.7514 0.2500 0.5029
0.2486 0.7500 0.4971
0.6173 0.7500 0.2346
0.3827 0.2500 0.7654
0.8813 0.7500 0.7626
0.1187 0.2500 0.2374
```

Results
The formation energy is -0.355 eV/atom. The value obtained for the density of states at the Fermi level is 12.3 states/eV per cell.

Computed, not measured: crystalline PrBe2Pd6 at its relaxed geometry at the PBE level of DFT.

```
PrBe2Pd6
1.0
-2.0277 5.6679 4.7929
-7.4197 1.8568 0.8419
-3.6549 -1.6399 6.5697
Pd Pr Be
12 2 4
Direct
0.2278 0.7722 0.2278
0.0222 0.0222 0.4778
0.0222 0.4778 0.4778
0.7722 0.7722 0.2278
0.7722 0.2278 0.2278
0.7722 0.2278 0.7722
0.4778 0.0222 0.4778
0.0222 0.4778 0.0222
0.4778 0.4778 0.0222
0.4778 0.0222 0.0222
0.2278 0.2278 0.7722
0.2278 0.7722 0.7722
0.5000 0.5000 0.5000
0.7500 0.7500 0.7500
0.1250 0.1250 0.1250
0.1250 0.6250 0.1250
0.1250 0.1250 0.6250
0.6250 0.1250 0.1250
```

Results
The formation energy is -0.287 eV/atom. The value obtained for the density of states at the Fermi level is 7.8 states/eV per cell.

Computed, not measured: crystalline LaMgH2N at its relaxed geometry at the PBE level of DFT.

```
LaMgH2N
1.0
3.7451 0.0000 0.0000
0.0000 3.7451 0.0000
0.0000 0.0000 4.2692
H La N Mg
2 1 1 1
Direct
0.0000 0.5000 0.0000
0.5000 0.0000 0.0000
0.5000 0.5000 0.5000
0.0000 0.0000 0.5000
0.0000 0.0000 0.0000
```

Results
For the energy above the most stable polymorph in this dataset, the calculation gives 0.037 eV/atom. The value obtained for the density of states at the Fermi level is 0.2 states/eV per cell.

Computed, not measured: crystalline TaMoW at its relaxed geometry at the PBE level of DFT.

```
TaMoW
1.0
3.1153 0.0000 0.0000
0.0000 7.1577 0.0000
0.0000 0.0000 9.4822
W Ta Mo
4 4 4
Direct
0.7500 0.2676 0.6478
0.7500 0.2324 0.1478
0.2500 0.7676 0.8522
0.2500 0.7324 0.3522
0.2500 0.1437 0.9059
0.2500 0.3563 0.4059
0.7500 0.8563 0.0941
0.7500 0.6437 0.5941
0.7500 0.4680 0.8791
0.2500 0.9680 0.6209
0.7500 0.0320 0.3791
0.2500 0.5320 0.1209
```

Results
For the energy above the most stable polymorph in this dataset, the calculation gives 0.519 eV/atom. The formation energy is 0.364 eV/atom. The value obtained for the density of states at the Fermi level is 12.1 states/eV per cell.

Computed, not measured: crystalline Y4Hg5Ir2 at its relaxed geometry at the PBE level of DFT.

```
Y4Hg5Ir2
1.0
-0.6928 -2.9033 2.1035
7.2363 -2.4473 -0.9945
1.9561 5.1638 7.7713
Y Hg Ir
4 5 2
Direct
0.5000 0.7848 0.5611
0.5000 0.1795 0.8509
0.5000 0.2152 0.4389
0.5000 0.8205 0.1491
0.0000 0.1701 0.1445
0.0000 0.4582 0.6678
0.0000 0.8299 0.8555
0.0000 0.5000 0.0000
0.0000 0.5418 0.3322
0.0000 0.0792 0.6405
0.0000 0.9208 0.3595
```

Results
The formation energy is -0.550 eV/atom. The value obtained for the density of states at the Fermi level is 6.4 states/eV per cell.

Computed, not measured: crystalline Pr2RuAuC at its relaxed geometry at the PBE level of DFT.

```
Pr2RuAuC
1.0
-2.1207 3.2711 0.1927
-4.3446 -2.8677 0.8662
0.8676 0.2561 5.1992
Ru Au Pr C
1 1 2 1
Direct
0.5000 0.0000 0.0000
0.5000 0.5000 0.5000
0.0000 0.0000 0.5000
0.0000 0.5000 0.0000
0.0000 0.0000 0.0000
```

Results
The formation energy is -0.419 eV/atom. The value obtained for the density of states at the Fermi level is 2.1 states/eV per cell.

Computed, not measured: crystalline AcReS at its relaxed geometry at the PBE level of DFT.

```
AcReS
1.0
-5.2673 3.8179 -3.9656
-0.7965 -2.2353 -2.7766
1.8336 -2.0456 10.7248
S Re Ac
2 2 2
Direct
0.6455 0.2788 0.8007
0.3545 0.7212 0.1993
0.4327 0.0233 0.8698
0.5673 0.9767 0.1302
0.9258 0.4738 0.7181
0.0742 0.5262 0.2819
```

Results
The value obtained for the total energy is -7.351 eV/atom. The value obtained for the density of states at the Fermi level is 2.6 states/eV per cell.

Computed, not measured: crystalline InNiTe2I at its relaxed geometry at the PBE level of DFT.

```
InNiTe2I
1.0
5.1024 0.0000 0.0000
0.0000 5.1024 0.0000
0.0000 0.0000 5.6466
I Ni Te In
1 1 2 1
Direct
0.0000 0.0000 0.5000
0.0000 0.0000 0.0000
0.0000 0.5000 0.0000
0.5000 0.0000 0.0000
0.5000 0.5000 0.5000
```

Results
For the energy above the most stable polymorph in this dataset, the calculation gives 0.000 eV/atom. The value obtained for the density of states at the Fermi level is 6.0 states/eV per cell.

Computed, not measured: crystalline TaV2H4 at its relaxed geometry at the PBE level of DFT.

```
TaV2H4
1.0
-0.2579 4.8701 -2.3231
-1.0287 -2.3124 -4.7725
-3.1041 -1.1297 4.2912
H V Ta
8 4 2
Direct
0.8591 0.1411 0.7172
0.3909 0.6089 0.7828
0.4246 0.1422 0.2830
0.8254 0.6078 0.2170
0.3911 0.6090 0.2172
0.3922 0.1746 0.7830
0.8589 0.1410 0.2828
0.8578 0.5754 0.7170
0.6250 0.8750 0.2500
0.6250 0.3750 0.2500
0.1250 0.3750 0.7500
0.6250 0.3750 0.7500
0.2499 0.7500 0.5000
0.0001 0.0000 0.0000
```

Results
For the energy above the most stable polymorph in this dataset, the calculation gives 0.000 eV/atom. The value obtained for the density of states at the Fermi level is 9.4 states/eV per cell.